No. 1
Computed, not measured: a relaxed ReRu crystal at the PBE level of DFT.

```
2
Lattice="-0.865 -2.679 -2.744 2.780 -2.465 -1.285 0.707 -1.131 3.698" Properties=species:S:1:pos:R:3 pbc="T T T"
Ru 0.439 -2.239 -0.769
Re 0.000 0.000 0.000
```

Symmetry: F-43m, No. 216
Density of states at the Fermi level in states/eV/f.u.: 2.150
VASP energy in eV/f.u.: -18.93
Crystal system: cubic

No. 2
Computed, not measured: a relaxed Sm12AlCo5 crystal at the PBE level of DFT.

```
18
Lattice="7.896 0.057 -2.988 -4.094 6.937 -2.529 0.018 -0.057 8.442" Properties=species:S:1:pos:R:3 pbc="T T T"
Sm 6.337 0.134 -0.726
Sm -2.517 6.803 3.652
Sm 4.201 2.234 -2.773
Sm 0.756 5.631 2.334
Sm 2.706 4.759 -0.603
Sm -2.450 5.631 0.124
Sm -0.111 2.741 0.161
Sm 3.064 1.306 0.592
Sm 3.931 4.195 2.765
Sm -0.381 4.702 5.699
Sm 1.115 2.178 3.529
Sm 6.270 1.306 2.802
Co 2.360 4.340 -3.424
Co 3.498 0.775 3.393
Co 0.000 0.000 0.000
Co 0.322 6.162 -0.467
Co 1.442 2.653 -2.093
Al -2.038 3.440 2.957
```

Symmetry: Immm, No. 71
Density of states at the Fermi level in states/eV/f.u.: 14.875
VASP energy in eV/f.u.: -98.42
Crystal system: orthorhombic

No. 3
Computed, not measured: a relaxed AcPb2Cl8 crystal at the PBE level of DFT.

```
11
Lattice="4.849 0.000 0.000 0.000 7.171 0.104 -2.424 -2.949 8.596" Properties=species:S:1:pos:R:3 pbc="T T T"
Cl 0.000 5.516 0.579
Cl 2.424 2.529 1.698
Cl 0.000 -1.733 5.769
Cl 0.000 1.694 7.003
Cl 2.424 3.210 4.979
Cl 2.424 5.955 2.932
Cl 0.000 1.012 3.721
Cl 2.424 -1.294 8.121
Pb 2.424 0.399 5.377
Pb 0.000 3.823 3.324
Ac 2.424 0.000 0.000
```

Symmetry: C2/m, No. 12
Formation energy from raw total energies in eV/atom: -1.398
Density of states at the Fermi level in states/eV/f.u.: 11.966
VASP energy in eV/f.u.: -41.67
Crystal system: monoclinic

Question: Which formula does entry 2 have?
Answer: Sm12AlCo5

Question: What is the density of states at the Fermi level in the third record?
Answer: 11.966 states/eV/f.u.